# 1
TaTeS2 | Alexandria via LeMat-Bulk | PBEsol | relaxed; Fermi-level density of states = 8.929 states/eV/cell; energy relative to the elements, uncorrected = 0.0276 eV per atom; M_tot = 0.00 μB/cell
1.0
-3.273 3.273 4.783
3.273 -3.273 4.783
3.273 3.273 -4.783
Ta Te S
2 2 4
Cartesian
0.000 0.000 0.000
0.000 3.273 2.392
3.273 0.000 2.392
0.000 0.000 4.783
4.910 1.093 -1.196
1.093 1.637 1.196
-1.637 2.181 3.587
2.181 1.637 5.979

# 2
Ta20Te5S3 | Alexandria via LeMat-Bulk | PBEsol | relaxed; Fermi-level density of states = 27.858 states/eV/cell; energy relative to the elements, uncorrected = -0.3405 eV per atom; M_tot = 0.00 μB/cell
1.0
7.732 -7.097 0.000
7.732 7.097 0.000
-3.256 0.000 9.891
Ta Te S
40 10 6
Cartesian
2.238 3.548 4.945
5.591 5.605 2.699
1.269 0.627 0.098
5.290 6.175 7.418
2.909 4.084 7.951
0.498 2.287 9.424
4.821 4.609 5.214
-0.359 -0.627 5.043
4.379 3.019 2.753
1.574 1.505 6.623
1.873 0.741 3.526
8.244 5.605 2.246
6.564 3.598 0.930
0.245 -0.741 8.472
5.758 4.609 9.622
7.271 3.598 4.016
3.202 -1.505 1.677
7.671 4.084 6.885
2.126 -2.287 4.479
9.456 3.019 2.192
3.866 -3.548 0.000
2.751 -3.019 7.699
10.082 2.287 5.412
4.537 -4.084 3.006
9.006 1.505 8.214
4.936 -3.598 5.875
6.449 -4.609 0.269
11.963 0.741 1.419
5.644 -3.598 8.961
3.963 -5.605 7.644
10.335 -0.741 6.365
10.634 -1.505 3.268
7.828 -3.019 7.138
12.566 0.627 4.847
7.386 -4.609 4.677
11.710 -2.287 0.466
9.299 -4.084 1.939
6.918 -6.175 2.473
10.939 -0.627 9.793
6.617 -5.605 7.192
4.143 1.562 5.198
3.119 1.427 8.916
6.918 1.330 2.473
5.771 -1.562 0.253
4.747 -1.427 3.970
7.461 1.427 5.920
6.437 1.562 9.638
5.290 -1.330 7.418
9.088 -1.427 0.975
8.065 -1.562 4.692
3.360 1.003 1.576
5.290 3.638 7.418
1.733 -1.003 6.522
10.475 1.003 3.369
6.918 -3.638 2.473
8.847 -1.003 8.314

# 3
TaTlS3 | Alexandria via LeMat-Bulk | PBEsol | relaxed; Fermi-level density of states = 0.273 states/eV/cell; energy relative to the elements, uncorrected = -0.7970 eV per atom; M_tot = 0.00 μB/cell
1.0
9.102 0.000 0.000
0.000 3.461 0.000
0.000 0.000 14.100
Ta Tl S
4 4 12
Cartesian
1.469 0.865 0.979
3.082 2.596 8.029
6.020 0.865 6.071
7.633 2.596 13.121
0.237 2.596 4.620
4.314 0.865 11.669
4.788 2.596 2.430
8.865 0.865 9.480
0.233 0.865 12.688
1.688 0.865 7.033
2.217 2.596 10.106
2.334 0.865 3.056
2.863 2.596 14.083
4.318 2.596 5.638
4.784 0.865 8.462
6.239 0.865 0.016
6.768 2.596 11.043
6.885 0.865 3.993
7.414 2.596 7.066
8.869 2.596 1.412

# 4
TaTl6VS8 | Alexandria via LeMat-Bulk | PBEsol | relaxed; Fermi-level density of states = 0.000 states/eV/cell; energy relative to the elements, uncorrected = -0.5972 eV per atom; M_tot = 0.00 μB/cell
1.0
7.488 0.000 0.000
0.000 7.488 0.000
0.000 0.000 7.488
Ta Tl V S
1 6 1 8
Cartesian
0.000 0.000 0.000
0.000 0.000 3.744
0.000 3.744 0.000
0.000 3.744 3.744
3.744 0.000 0.000
3.744 0.000 3.744
3.744 3.744 0.000
3.744 3.744 3.744
1.311 1.311 1.311
1.311 6.177 6.177
2.503 2.503 4.985
2.503 4.985 2.503
4.985 2.503 2.503
4.985 4.985 4.985
6.177 1.311 6.177
6.177 6.177 1.311

# 5
YTaS3 | Alexandria via LeMat-Bulk | PBEsol | relaxed; Fermi-level density of states = 3.414 states/eV/cell; energy relative to the elements, uncorrected = 0.3247 eV per atom; M_tot = 1.99 μB/cell
1.0
4.997 0.000 0.000
0.000 4.997 0.000
0.000 0.000 4.997
Y Ta S
1 1 3
Cartesian
0.000 0.000 0.000
2.499 2.499 2.499
0.000 0.000 2.499
0.000 2.499 0.000
2.499 0.000 0.000

# 6
YTaS2 | Alexandria via LeMat-Bulk | PBEsol | relaxed; Fermi-level density of states = 3.608 states/eV/cell; energy relative to the elements, uncorrected = -0.7098 eV per atom; M_tot = 0.00 μB/cell
1.0
1.759 1.016 8.124
-1.759 1.016 8.124
0.000 -2.031 8.124
Y Ta S
1 1 2
Cartesian
0.000 0.000 0.000
0.000 0.000 12.186
0.000 0.000 9.832
0.000 0.000 14.540

# 7
ZrTaS2 | Alexandria via LeMat-Bulk | PBEsol | relaxed; excess energy over the best structure of this formula in the dataset = 181 meV per atom; Fermi-level density of states = 3.898 states/eV/cell; energy relative to the elements, uncorrected = -0.7895 eV per atom; M_tot = 0.00 μB/cell
1.0
1.592 0.919 8.431
-1.592 0.919 8.431
0.000 -1.839 8.431
Zr Ta S
1 1 2
Cartesian
0.000 0.000 0.000
0.000 0.000 12.646
0.000 0.000 2.567
0.000 0.000 22.724

# 8
ZrTaS3 | Alexandria via LeMat-Bulk | PBEsol | relaxed; Fermi-level density of states = 3.347 states/eV/cell; energy relative to the elements, uncorrected = 0.1822 eV per atom; M_tot = 2.76 μB/cell
1.0
4.818 0.000 0.000
0.000 4.818 0.000
0.000 0.000 4.818
Zr Ta S
1 1 3
Cartesian
0.000 0.000 0.000
2.409 2.409 2.409
0.000 0.000 2.409
0.000 2.409 0.000
2.409 0.000 0.000

# 9
ZrTaS2 | Alexandria via LeMat-Bulk | PBEsol | relaxed; excess energy over the best structure of this formula in the dataset = 0 meV per atom; Fermi-level density of states = 3.246 states/eV/cell; energy relative to the elements, uncorrected = -0.9710 eV per atom; M_tot = 0.00 μB/cell
1.0
0.000 3.117 3.117
3.117 0.000 3.117
3.117 3.117 0.000
Zr Ta S
1 1 2
Cartesian
0.000 0.000 0.000
3.117 3.117 3.117
1.558 1.558 1.558
4.675 4.675 4.675

# 10
TbS | Alexandria via LeMat-Bulk | PBEsol | relaxed; Fermi-level density of states = 0.783 states/eV/cell; energy relative to the elements, uncorrected = -2.1266 eV per atom; M_tot = 0.00 μB/cell
1.0
0.000 2.737 2.737
2.737 0.000 2.737
2.737 2.737 0.000
Tb S
1 1
Cartesian
0.000 0.000 0.000
2.737 2.737 2.737

# 11
Tb5S7 | Alexandria via LeMat-Bulk | PBEsol | relaxed; Fermi-level density of states = 1.349 states/eV/cell; energy relative to the elements, uncorrected = -2.1313 eV per atom; M_tot = 0.00 μB/cell
1.0
6.373 -1.889 0.000
6.373 1.889 0.000
-2.924 0.000 11.102
Tb S
5 7
Cartesian
0.000 0.000 0.000
0.201 0.000 4.679
3.276 0.000 2.098
6.547 0.000 9.004
9.622 0.000 6.424
-1.768 0.000 8.709
1.410 0.000 7.206
1.559 0.000 10.539
4.911 0.000 5.551
8.263 0.000 0.563
8.412 0.000 3.896
11.591 0.000 2.393

# 12
Tb2TeS2 | Alexandria via LeMat-Bulk | PBEsol | relaxed; Fermi-level density of states = 0.000 states/eV/cell; energy relative to the elements, uncorrected = -1.8615 eV per atom; M_tot = 0.00 μB/cell
1.0
-2.072 2.664 6.680
2.072 -2.664 6.680
2.072 2.664 -6.680
Tb Te S
2 1 2
Cartesian
0.000 0.000 2.233
0.000 0.000 11.128
2.072 0.000 0.000
2.072 0.000 3.979
0.000 2.664 2.701

# 13
TbTlS2 | Alexandria via LeMat-Bulk | PBEsol | relaxed; Fermi-level density of states = 0.000 states/eV/cell; energy relative to the elements, uncorrected = -1.4869 eV per atom; M_tot = 0.00 μB/cell
1.0
1.985 1.146 7.360
-1.985 1.146 7.360
0.000 -2.292 7.360
Tb Tl S
1 1 2
Cartesian
0.000 0.000 0.000
0.000 0.000 11.040
0.000 0.000 5.868
0.000 0.000 16.212

# 14
TcS2 | Alexandria via LeMat-Bulk | PBEsol | relaxed; energy relative to the elements, uncorrected = -0.7065 eV per atom; M_tot = 0.00 μB/cell
1.0
6.315 0.000 0.000
3.090 5.627 0.000
1.542 2.434 6.022
Tc S
4 8
Cartesian
0.959 1.612 0.015
3.733 1.766 0.056
7.212 6.295 5.966
9.987 6.449 6.007
2.274 2.488 1.714
3.955 5.090 1.163
5.405 5.826 4.476
3.981 2.804 4.702
6.965 5.257 1.320
5.541 2.235 1.546
6.991 2.971 4.859
8.672 5.573 4.308

# 15
Tc3TeS | Alexandria via LeMat-Bulk | PBEsol | relaxed; excess energy over the best structure of this formula in the dataset = 0 meV per atom; Fermi-level density of states = 6.930 states/eV/cell; energy relative to the elements, uncorrected = 0.5519 eV per atom; M_tot = 0.41 μB/cell
1.0
4.374 0.000 0.000
0.000 4.374 0.000
0.000 0.000 4.374
Tc Te S
3 1 1
Cartesian
0.000 0.000 2.187
0.000 2.187 0.000
2.187 0.000 0.000
2.187 2.187 2.187
0.000 0.000 0.000

# 16
Tc3TeS | Alexandria via LeMat-Bulk | PBEsol | relaxed; excess energy over the best structure of this formula in the dataset = 1665 meV per atom; Fermi-level density of states = 6.918 states/eV/cell; energy relative to the elements, uncorrected = 2.2169 eV per atom; M_tot = 2.79 μB/cell
1.0
4.793 0.000 0.000
0.000 4.793 0.000
0.000 0.000 4.793
Tc Te S
3 1 1
Cartesian
0.000 0.000 2.396
0.000 2.396 0.000
2.396 0.000 0.000
0.000 0.000 0.000
2.396 2.396 2.396

# 17
TiTcS2 | Alexandria via LeMat-Bulk | PBEsol | relaxed; Fermi-level density of states = 3.034 states/eV/cell; energy relative to the elements, uncorrected = -0.5719 eV per atom; M_tot = 0.00 μB/cell
1.0
1.496 0.864 7.825
-1.496 0.864 7.825
0.000 -1.727 7.825
Ti Tc S
1 1 2
Cartesian
0.000 0.000 0.000
0.000 0.000 11.737
0.000 0.000 9.471
0.000 0.000 14.004

# 18
TlTcS2 | Alexandria via LeMat-Bulk | PBEsol | relaxed; Fermi-level density of states = 3.966 states/eV/cell; energy relative to the elements, uncorrected = -0.3034 eV per atom; M_tot = 0.75 μB/cell
1.0
1.604 0.926 9.047
-1.604 0.926 9.047
0.000 -1.852 9.047
Tl Tc S
1 1 2
Cartesian
0.000 0.000 0.000
0.000 0.000 13.570
0.000 0.000 3.016
0.000 0.000 24.124

# 19
TcW3S | Alexandria via LeMat-Bulk | PBEsol | relaxed; Fermi-level density of states = 5.883 states/eV/cell; energy relative to the elements, uncorrected = 2.2854 eV per atom; M_tot = 0.00 μB/cell
1.0
4.653 0.000 0.000
0.000 4.653 0.000
0.000 0.000 4.653
Tc W S
1 3 1
Cartesian
0.000 0.000 0.000
0.000 0.000 2.327
0.000 2.327 0.000
2.327 0.000 0.000
2.327 2.327 2.327

# 20
Ti2TeS2 | Alexandria via LeMat-Bulk | PBEsol | relaxed; Fermi-level density of states = 3.287 states/eV/cell; energy relative to the elements, uncorrected = -0.8638 eV per atom; M_tot = 0.00 μB/cell
1.0
-2.007 2.007 5.699
2.007 -2.007 5.699
2.007 2.007 -5.699
Ti Te S
2 1 2
Cartesian
0.000 0.000 1.483
0.000 0.000 9.915
0.000 0.000 5.699
2.007 0.000 2.850
0.000 2.007 2.850

# 21
TlTe2S | Alexandria via LeMat-Bulk | PBEsol | relaxed; Fermi-level density of states = 2.675 states/eV/cell; energy relative to the elements, uncorrected = 0.2430 eV per atom; M_tot = 0.00 μB/cell
1.0
1.723 0.995 10.283
-1.723 0.995 10.283
0.000 -1.989 10.283
Tl Te S
1 2 1
Cartesian
0.000 0.000 0.000
0.000 0.000 3.164
0.000 0.000 27.686
0.000 0.000 15.425

# 22
Tm2TeS2 | Alexandria via LeMat-Bulk | PBEsol | relaxed; Fermi-level density of states = 0.000 states/eV/cell; energy relative to the elements, uncorrected = -1.8535 eV per atom; M_tot = 0.00 μB/cell
1.0
-2.025 2.626 6.543
2.025 -2.626 6.543
2.025 2.626 -6.543
Tm Te S
2 1 2
Cartesian
0.000 0.000 2.204
0.000 0.000 10.882
2.025 0.000 0.000
2.025 0.000 3.933
0.000 2.626 2.611

# 23
TeW2S3 | Alexandria via LeMat-Bulk | PBEsol | relaxed; Fermi-level density of states = 0.441 states/eV/cell; energy relative to the elements, uncorrected = -0.6351 eV per atom; M_tot = 0.00 μB/cell
1.0
3.224 0.000 0.000
-1.612 2.792 0.000
0.000 0.000 25.990
Te W S
2 4 6
Cartesian
0.000 0.000 0.000
0.000 0.000 3.869
0.000 0.000 8.693
0.000 0.000 21.192
1.612 0.931 1.935
1.612 0.931 14.957
0.000 0.000 13.417
0.000 0.000 16.497
1.612 0.931 7.151
1.612 0.931 10.233
1.612 0.931 19.652
1.612 0.931 22.734

| no. | E_tot (eV per atom) |
| --- | --- |
| 1 | -6.184 |
| 2 | -10.405 |
| 3 | -6.464 |
| 4 | -5.162 |
| 5 | -6.180 |
| 6 | -7.745 |
| 7 | -8.392 |
| 8 | -6.776 |
| 9 | -8.573 |
| 10 | -6.824 |
| 11 | -6.776 |
| 12 | -6.324 |
| 13 | -5.589 |
| 14 | -7.385 |
| 15 | -7.790 |
| 16 | -6.125 |
| 17 | -7.661 |
| 18 | -5.970 |
| 19 | -9.129 |
| 20 | -6.652 |
| 21 | -3.274 |
| 22 | -6.272 |
| 23 | -8.017 |